Record 1
The following is a PBE calculation of crystalline Mg6Cd2Au at its relaxed geometry, from the Alexandria database.

Unit cell a=4.514 b=6.981 c=8.100 alpha=115.53 beta=104.97 gamma=90.00
Fractional coordinates of all 9 atoms:
1 Mg 0.160 0.395 0.325
2 Mg 0.840 0.070 0.675
3 Mg 0.840 0.605 0.675
4 Mg 0.500 0.231 0.000
5 Mg 0.160 0.930 0.325
6 Mg 0.500 0.769 0.000
7 Cd 0.661 0.663 0.325
8 Cd 0.339 0.337 0.675
9 Au 0.000 0.000 0.000

Results
SG = No. 12
formation energy = -0.112 eV/atom



Record 2
The following is a PBE calculation of crystalline MgCd2Au at its relaxed geometry, from the Alexandria database.

Unit cell a=3.734 b=3.734 c=5.869 alpha=90.00 beta=90.00 gamma=90.00
Fractional coordinates of all 4 atoms:
1 Au 0.500 0.500 0.750
2 Cd 0.000 0.000 0.997
3 Cd 0.000 0.000 0.503
4 Mg 0.500 0.500 0.250

Results
SG = No. 123
formation energy = -0.185 eV/atom



Record 3
The following is a PBE calculation of crystalline Mg4Cd5Au at its relaxed geometry, from the Alexandria database.

Unit cell a=4.571 b=7.155 c=8.027 alpha=115.44 beta=106.54 gamma=90.00
Fractional coordinates of all 10 atoms:
1 Mg 0.331 0.059 0.663
2 Mg 0.990 0.211 0.981
3 Mg 0.669 0.941 0.337
4 Mg 0.010 0.789 0.019
5 Cd 0.837 0.366 0.673
6 Cd 0.808 0.741 0.616
7 Cd 0.192 0.259 0.384
8 Cd 0.500 0.500 0.000
9 Cd 0.163 0.634 0.327
10 Au 0.500 0.000 0.000

Results
SG = No. 12
formation energy = -0.129 eV/atom



Record 4
The following is a PBE calculation of crystalline MgCd2Au at its relaxed geometry, from the Alexandria database.

Unit cell a=5.185 b=3.073 c=5.129 alpha=88.63 beta=90.00 gamma=90.00
Fractional coordinates of all 4 atoms:
1 Au 0.500 0.750 0.750
2 Cd 0.000 0.973 0.999
3 Cd 0.000 0.527 0.501
4 Mg 0.500 0.250 0.250

Results
SG = No. 10
formation energy = -0.171 eV/atom



Record 5
The following is a PBE calculation of crystalline Mg2CdAu7 at its relaxed geometry, from the Alexandria database.

Unit cell a=5.034 b=5.034 c=9.471 alpha=111.02 beta=111.02 gamma=69.55
Fractional coordinates of all 10 atoms:
1 Mg 0.671 0.671 0.341
2 Mg 0.329 0.329 0.659
3 Cd 0.000 0.000 0.000
4 Au 0.088 0.588 0.177
5 Au 0.412 0.912 0.823
6 Au 0.588 0.088 0.177
7 Au 0.500 0.500 0.000
8 Au 0.750 0.250 0.500
9 Au 0.912 0.412 0.823
10 Au 0.250 0.750 0.500

Results
SG = No. 69
formation energy = -0.264 eV/atom



Record 6
The following is a PBE calculation of crystalline MgCdAu14 at its relaxed geometry, from the Alexandria database.

Unit cell a=6.135 b=6.135 c=7.726 alpha=90.00 beta=90.00 gamma=89.99
Fractional coordinates of all 16 atoms:
1 Mg 0.875 0.875 0.500
2 Cd 0.375 0.375 0.500
3 Au 0.875 0.875 0.000
4 Au 0.375 0.375 0.000
5 Au 0.875 0.375 0.500
6 Au 0.875 0.375 0.000
7 Au 0.375 0.875 0.500
8 Au 0.375 0.875 0.000
9 Au 0.628 0.122 0.251
10 Au 0.628 0.122 0.749
11 Au 0.122 0.628 0.251
12 Au 0.122 0.628 0.749
13 Au 0.628 0.628 0.251
14 Au 0.628 0.628 0.749
15 Au 0.122 0.122 0.251
16 Au 0.122 0.122 0.749

Results
SG = No. 123
formation energy = -0.131 eV/atom